Compound: Ba3NdRu2O9
Source: the Alexandria database
Functional: GGA-PBEsol
Structure: relaxed

Cell: 5.9106 5.9106 14.6882 Å, 90.00 90.00 120.00°
With the nearest neighbours (Å) after each atom.
Sites, in units of the cell vectors:
Ba: 0.0000 0.0000 0.2500  12 O 2.94-2.96
Ba: 0.0000 0.0000 0.7500  12 O 2.94-2.96
Ba: 0.3333 0.6667 0.1027  9 O 2.81-2.96
Ba: 0.3333 0.6667 0.3973  9 O 2.81-2.96
Ba: 0.6667 0.3333 0.6027  9 O 2.81-2.96
Ba: 0.6667 0.3333 0.8973  9 O 2.81-2.96
Nd: 0.0000 0.0000 0.0000  6 O 2.28
Nd: 0.0000 0.0000 0.5000  6 O 2.28
Ru: 0.3333 0.6667 0.6669  6 O 1.92-2.03
Ru: 0.3333 0.6667 0.8331  6 O 1.92-2.03
Ru: 0.6667 0.3333 0.1669  6 O 1.92-2.03
Ru: 0.6667 0.3333 0.3331  6 O 1.92-2.03
O: 0.0166 0.5083 0.7500  2 Ru 2.03
O: 0.1788 0.3575 0.5931  1 Ru 1.92
O: 0.1788 0.3575 0.9069  1 Ru 1.92
O: 0.1788 0.8212 0.5931  1 Ru 1.92
O: 0.1788 0.8212 0.9069  1 Ru 1.92
O: 0.3575 0.1788 0.0931  1 Ru 1.92
O: 0.3575 0.1788 0.4069  1 Ru 1.92
O: 0.4917 0.5083 0.7500  2 Ru 2.03
O: 0.4917 0.9834 0.7500  2 Ru 2.03
O: 0.5083 0.0166 0.2500  2 Ru 2.03
O: 0.5083 0.4917 0.2500  2 Ru 2.03
O: 0.6425 0.8212 0.5931  1 Ru 1.92
O: 0.6425 0.8212 0.9069  1 Ru 1.92
O: 0.8212 0.1788 0.0931  1 Ru 1.92
O: 0.8212 0.1788 0.4069  1 Ru 1.92
O: 0.8212 0.6425 0.0931  1 Ru 1.92
O: 0.8212 0.6425 0.4069  1 Ru 1.92
O: 0.9834 0.4917 0.2500  2 Ru 2.03

Calculated values
size of the total moment	6.07	μB/cell
D(E_F)	5.03	states/eV/f.u.
crystal system	hexagonal
ρ	6.744	g/cm3
E	-7.497	eV per atom


Compound: Ba3NdV3O12
Source: the Alexandria database
Functional: GGA-PBEsol
Structure: relaxed

Cell: 11.3596 11.3596 9.4103 Å, 93.78 93.78 28.50°
With the nearest neighbours (Å) after each atom.
Sites, in units of the cell vectors:
Ba: 0.0000 0.0000 0.0000  5 O 2.55-2.80
Ba: 0.0569 0.0569 0.6473  10 O 2.75-3.02
Ba: 0.1929 0.1929 0.0023  7 O 2.66-2.89
Ba: 0.5148 0.5148 0.3413  6 O 2.64-2.79
Ba: 0.6614 0.6614 0.6616  4 O 2.52-2.76
Ba: 0.8634 0.8634 0.6426  6 O 2.70-2.79
Nd: 0.3721 0.3721 0.0146  5 O 2.39-2.48
Nd: 0.7400 0.7400 0.3195  4 O 2.29-2.48
V: 0.1357 0.1357 0.3353  4 O 1.69-1.72
V: 0.2570 0.2570 0.6393  4 O 1.71-1.75
V: 0.4636 0.4636 0.6834  4 O 1.68-1.73
V: 0.5993 0.5993 0.9960  4 O 1.70-1.77
V: 0.7974 0.7974 0.9958  4 O 1.67-1.73
V: 0.9143 0.9143 0.2888  4 O 1.70-1.73
O: 0.0022 0.5163 0.5384  1 V 1.73
O: 0.0461 0.5400 0.1001  1 V 1.73
O: 0.0914 0.0914 0.1810  1 V 1.69
O: 0.1713 0.6812 0.1823  1 V 1.73
O: 0.1870 0.1870 0.7062  1 V 1.71
O: 0.2029 0.7048 0.7832  1 V 1.71
O: 0.2096 0.2096 0.2892  1 V 1.71
O: 0.3126 0.3126 0.7815  1 V 1.75
O: 0.3592 0.8431 0.8852  1 V 1.71
O: 0.3660 0.8723 0.4345  1 V 1.72
O: 0.4140 0.4140 0.5398  1 V 1.68
O: 0.5163 0.0022 0.5384  1 V 1.73
O: 0.5301 0.5301 0.0658  1 V 1.70
O: 0.5361 0.5361 0.6216  1 V 1.73
O: 0.5400 0.0461 0.1001  1 V 1.73
O: 0.6631 0.6631 0.1201  1 V 1.77
O: 0.6812 0.1713 0.1823  1 V 1.73
O: 0.7048 0.2029 0.7832  1 V 1.71
O: 0.7432 0.7432 0.8626  1 V 1.67
O: 0.8431 0.3592 0.8852  1 V 1.71
O: 0.8441 0.8441 0.3545  1 V 1.70
O: 0.8676 0.8676 0.9325  1 V 1.69
O: 0.8723 0.3660 0.4345  1 V 1.72
O: 0.9694 0.9694 0.4249  1 V 1.70

Calculated values
size of the total moment	0.00	μB/cell
D(E_F)	0.00	states/eV/f.u.
crystal system	monoclinic
ρ	5.177	g/cm3
E	-8.300	eV per atom


Compound: Ba2NdWO6
Source: the Alexandria database
Functional: GGA-PBEsol
Structure: relaxed

Cell: 6.0349 6.0349 6.0349 Å, 60.00 60.00 60.00°
With the nearest neighbours (Å) after each atom.
Sites, in units of the cell vectors:
Ba: 0.2500 0.2500 0.2500  12 O 3.02
Ba: 0.7500 0.7500 0.7500  12 O 3.02
Nd: 0.0000 0.0000 0.0000  6 O 2.31
W: 0.5000 0.5000 0.5000  6 O 1.96
O: 0.2706 0.2706 0.7294  1 W 1.96
O: 0.2706 0.7294 0.2706  1 W 1.96
O: 0.2706 0.7294 0.7294  1 W 1.96
O: 0.7294 0.2706 0.2706  1 W 1.96
O: 0.7294 0.2706 0.7294  1 W 1.96
O: 0.7294 0.7294 0.2706  1 W 1.96

Calculated values
size of the total moment	0.00	μB/cell
D(E_F)	2.66	states/eV/f.u.
crystal system	cubic
ρ	7.465	g/cm3
E	-8.273	eV per atom


Compound: BaNd2S4
Source: the Alexandria database
Functional: GGA-PBEsol
Structure: relaxed

Cell: 7.5478 7.5478 7.5478 Å, 109.47 109.47 109.47°
With the nearest neighbours (Å) after each atom.
Sites, in units of the cell vectors:
Ba: 0.0000 0.0000 0.0000  8 S 3.04-3.16
Ba: 0.7500 0.2500 0.5000  8 S 3.04-3.16
Nd: 0.2500 0.6250 0.1250  8 S 2.85-3.14
Nd: 0.3750 0.5000 0.6250  8 S 2.85-3.14
Nd: 0.5000 0.1250 0.8750  8 S 2.85-3.14
Nd: 0.8750 0.7500 0.3750  8 S 2.85-3.14
S: 0.1426 0.7289 0.7460  4 Nd 2.85-3.14, 2 Ba 3.04-3.16, 1 S 3.16
S: 0.1466 0.2329 0.7540  4 Nd 2.85-3.14, 2 Ba 3.04-3.16, 1 S 3.16
S: 0.2711 0.0171 0.4137  4 Nd 2.85-3.14, 2 Ba 3.04-3.16, 1 S 3.16
S: 0.4789 0.3926 0.2460  4 Nd 2.85-3.14, 2 Ba 3.04-3.16, 1 S 3.16
S: 0.6034 0.8574 0.5863  4 Nd 2.85-3.14, 2 Ba 3.04-3.16, 1 S 3.16
S: 0.6074 0.8534 0.0863  4 Nd 2.85-3.14, 2 Ba 3.04-3.16, 1 S 3.16
S: 0.7671 0.5211 0.9137  4 Nd 2.85-3.14, 2 Ba 3.04-3.16, 1 S 3.16
S: 0.9829 0.3966 0.2540  4 Nd 2.85-3.14, 2 Ba 3.04-3.16, 1 S 3.16

Calculated values
size of the total moment	0.00	μB/cell
D(E_F)	0.00	states/eV/f.u.
energy above the most stable polymorph in this dataset	16	meV per atom
crystal system	tetragonal
ρ	5.559	g/cm3
E	-6.394	eV per atom


Results for formation energy from raw total energies: -3209, -5230, -2698, -1422 (in kJ/mol of formula units, following the order of the records).